Here is a relaxed structure of ScReNi2 from the Alexandria database. Energies are from GGA-PBE.

Cell: 3.7088 3.7088 8.2161 Å, 90.00 90.00 90.00°
Last column: nearest neighbours and their distance in Å.
Space group I-4m2 (No. 119)
Inequivalent atoms, fractional coordinates:
Sc 0.0000 0.0000 0.0000 [2 per cell]  8 Ni 2.62-2.77, 4 Re 2.77
Re 0.0000 0.5000 0.2500 [2 per cell]  8 Ni 2.62-2.77, 4 Sc 2.77
Ni 0.0000 0.0000 0.5000 [2 per cell]  4 Sc 2.62, 4 Re 2.77, 4 Ni 2.77
Ni 0.0000 0.5000 0.7500 [2 per cell]  4 Re 2.62, 4 Ni 2.77, 4 Sc 2.77

## Properties
energy above the most stable polymorph in this dataset: 191 meV/atom
ΔH_f (0 K): 1.25 kcal/mol of atoms